This record from Alexandria via LeMat-Bulk describes a PBEsol-optimized structure of Al2FeAg. The functional is meta-GGA SCAN.

Cell lengths 2.746, 4.432, 4.987 Å; angles 100.16, 90.00, 108.04 degrees
Each line ends with the local moment (μB).
Positions (direct):
Fe (0.000, 0.000, 0.500)  2.34
Ag (0.500, 0.000, 0.000)  -0.04
Al (0.742, 0.484, 0.727)  -0.03
Al (0.258, 0.516, 0.273)  -0.03

Properties
SG: C2/m (12)
excess energy over the best structure of this formula in the dataset: 0.1876 eV per atom
M_tot: 0.5288 μB per atom
calculated volume: 57 Å³ per cell
calculated formation energy: -69.6 meV per atom
DOS(E_F): 0.47 states/eV/atom
calculated total energy: -16.320 eV per atom
crystal system: monoclinic

=====

This record from Alexandria via LeMat-Bulk describes a PBEsol-optimized structure of Al2FeAg. The functional is meta-GGA SCAN.

Cell lengths 5.431, 5.479, 5.479 Å; angles 75.78, 60.29, 60.29 degrees
Each line ends with the local moment (μB).
Positions (direct):
Ag (0.000, 0.000, 0.000)  -0.05
Ag (0.750, 0.500, 0.500)  -0.05
Al (0.143, 0.982, 0.482)  -0.03
Al (0.875, 0.518, 0.982)  -0.03
Al (0.607, 0.018, 0.518)  -0.03
Al (0.375, 0.482, 0.018)  -0.03
Fe (0.250, 0.500, 0.500)  2.10
Fe (0.500, 0.000, 0.000)  2.10

Properties
SG: I-42d (122)
excess energy over the best structure of this formula in the dataset: 0.6214 eV per atom
M_tot: 0.4685 μB per atom
calculated volume: 123 Å³ per cell
calculated formation energy: 364.2 meV per atom
DOS(E_F): 0.54 states/eV/atom
calculated total energy: -15.886 eV per atom
crystal system: tetragonal

=====

This record from Alexandria via LeMat-Bulk describes a PBEsol-optimized structure of Al2FeAg. The functional is meta-GGA SCAN.

Cell lengths 3.183, 4.142, 4.142 Å; angles 90.00, 90.00, 90.00 degrees
Each line ends with the local moment (μB).
Positions (direct):
Al (0.000, 0.000, 0.500)  -0.03
Al (0.000, 0.500, 0.000)  -0.03
Ag (0.500, 0.000, 0.000)  -0.02
Fe (0.500, 0.500, 0.500)  1.65

Properties
SG: P4/mmm (123)
excess energy over the best structure of this formula in the dataset: 0.0638 eV per atom
M_tot: 0.3721 μB per atom
calculated volume: 55 Å³ per cell
calculated formation energy: -193.4 meV per atom
DOS(E_F): 0.53 states/eV/atom
calculated total energy: -16.443 eV per atom
crystal system: tetragonal

=====

This record from Alexandria via LeMat-Bulk describes a PBEsol-optimized structure of Al2FeAg. The functional is meta-GGA SCAN.

Cell lengths 2.867, 2.867, 6.605 Å; angles 90.00, 89.97, 90.00 degrees
Positions (direct):
Fe (0.500, 0.500, 0.000)
Al (0.000, 0.000, 0.205)
Al (0.000, 0.000, 0.795)
Ag (0.500, 0.500, 0.500)

Properties
SG: P4/mmm (123)
excess energy over the best structure of this formula in the dataset: 0.0000 eV per atom
M_tot: 0.0031 μB per atom
calculated volume: 54 Å³ per cell
calculated formation energy: -257.2 meV per atom
DOS(E_F): 0.31 states/eV/atom
calculated total energy: -16.507 eV per atom
crystal system: tetragonal

=====

This record from Alexandria via LeMat-Bulk describes a PBEsol-optimized structure of Al2FeAg. The functional is meta-GGA SCAN.

Cell lengths 2.832, 3.734, 5.374 Å; angles 90.00, 90.00, 90.00 degrees
Each line ends with the local moment (μB).
Positions (direct):
Al (0.000, 0.000, 0.993)  -0.01
Al (0.500, 0.500, 0.281)  -0.04
Ag (0.500, 0.500, 0.761)  -0.03
Fe (0.000, 0.000, 0.465)  2.52

Properties
SG: Pmm2 (25)
excess energy over the best structure of this formula in the dataset: 0.1773 eV per atom
M_tot: 0.5830 μB per atom
calculated volume: 57 Å³ per cell
calculated formation energy: -79.9 meV per atom
DOS(E_F): 0.48 states/eV/atom
calculated total energy: -16.330 eV per atom
crystal system: orthorhombic

=====

This record from Alexandria via LeMat-Bulk describes a PBEsol-optimized structure of Al2FeAg. The functional is meta-GGA SCAN.

Cell lengths 2.871, 4.402, 4.402 Å; angles 96.53, 90.00, 90.00 degrees
Each line ends with the local moment (μB).
Positions (direct):
Ag (0.500, 0.500, 0.500)  -0.02
Fe (0.500, 0.000, 0.000)  2.32
Al (0.000, 0.000, 0.500)  -0.04
Al (0.000, 0.500, 0.000)  -0.04

Properties
SG: Cmmm (65)
excess energy over the best structure of this formula in the dataset: 0.1002 eV per atom
M_tot: 0.5192 μB per atom
calculated volume: 55 Å³ per cell
calculated formation energy: -157.0 meV per atom
DOS(E_F): 0.40 states/eV/atom
calculated total energy: -16.407 eV per atom
crystal system: orthorhombic

=====

This record from Alexandria via LeMat-Bulk describes a PBEsol-optimized structure of SrAl2FeAg. The functional is meta-GGA SCAN.

Cell lengths 5.274, 5.609, 5.609 Å; angles 90.00, 90.00, 90.00 degrees
Each line ends with the local moment (μB).
Positions (direct):
Fe (0.500, 0.500, 0.500)  3.52
Ag (0.500, 0.000, 0.000)  0.03
Al (0.000, 0.500, 0.000)  -0.01
Al (0.000, 0.000, 0.500)  -0.01
Sr (0.000, 0.000, 0.000)  0.01

Properties
SG: P4/mmm (123)
M_tot: 0.7075 μB per atom
calculated volume: 166 Å³ per cell
calculated formation energy: 1910.9 meV per atom
DOS(E_F): 0.99 states/eV/atom
calculated total energy: -15.544 eV per atom
crystal system: tetragonal

=====

This record from Alexandria via LeMat-Bulk describes a PBEsol-optimized structure of AlGa2Ag2. The functional is meta-GGA SCAN.

Cell lengths 3.685, 3.685, 7.050 Å; angles 105.15, 105.15, 90.00 degrees
Positions (direct):
Al (0.000, 0.000, 0.000)
Ag (0.399, 0.399, 0.799)
Ag (0.601, 0.601, 0.201)
Ga (0.250, 0.750, 0.500)
Ga (0.750, 0.250, 0.500)

Properties
SG: I4/mmm (139)
M_tot: 0.0000 μB per atom
calculated volume: 89 Å³ per cell
calculated formation energy: 159.9 meV per atom
DOS(E_F): 0.35 states/eV/atom
calculated total energy: -20.476 eV per atom
crystal system: tetragonal

=====

This record from Alexandria via LeMat-Bulk describes a PBEsol-optimized structure of Al2GaAg2. The functional is meta-GGA SCAN.

Cell lengths 2.726, 8.002, 8.002 Å; angles 90.00, 90.00, 90.00 degrees
Positions (direct):
Al (0.500, 0.371, 0.129)
Al (0.500, 0.129, 0.629)
Al (0.500, 0.871, 0.371)
Al (0.500, 0.629, 0.871)
Ga (0.000, 0.000, 0.000)
Ga (0.000, 0.500, 0.500)
Ag (0.000, 0.332, 0.832)
Ag (0.000, 0.668, 0.168)
Ag (0.000, 0.832, 0.668)
Ag (0.000, 0.168, 0.332)

Properties
SG: P4/mbm (127)
M_tot: 0.0000 μB per atom
calculated volume: 175 Å³ per cell
calculated formation energy: 25.5 meV per atom
DOS(E_F): 0.25 states/eV/atom
calculated total energy: -18.891 eV per atom
crystal system: tetragonal

=====

This record from Alexandria via LeMat-Bulk describes a PBEsol-optimized structure of AlTlGa2Ag. The functional is meta-GGA SCAN.

Cell lengths 5.160, 5.277, 5.277 Å; angles 90.00, 90.00, 90.00 degrees
Positions (direct):
Ga (0.000, 0.000, 0.500)
Ga (0.000, 0.500, 0.000)
Tl (0.000, 0.000, 0.000)
Al (0.500, 0.000, 0.000)
Ag (0.500, 0.500, 0.500)

Properties
SG: P4/mmm (123)
M_tot: 0.0000 μB per atom
calculated volume: 144 Å³ per cell
calculated formation energy: 916.0 meV per atom
DOS(E_F): 0.37 states/eV/atom
calculated total energy: -27.918 eV per atom
crystal system: tetragonal

=====

This record from Alexandria via LeMat-Bulk describes a PBEsol-optimized structure of Gd3Al7Ag2. The functional is meta-GGA SCAN.

Cell lengths 5.514, 5.514, 9.290 Å; angles 72.73, 72.73, 60.00 degrees
Each line ends with the local moment (μB).
Positions (direct):
Al (0.586, 0.586, 0.751)  0.01
Al (0.500, 0.500, 0.500)  0.02
Al (0.586, 0.076, 0.751)  0.01
Al (0.414, 0.414, 0.249)  0.01
Al (0.414, 0.924, 0.249)  0.01
Al (0.924, 0.414, 0.249)  0.01
Al (0.076, 0.586, 0.751)  0.01
Ag (0.664, 0.664, 0.007)  0.00
Ag (0.336, 0.336, 0.993)  0.00
Gd (0.143, 0.143, 0.572)  -7.32
Gd (0.000, 0.000, 0.000)  7.18
Gd (0.857, 0.857, 0.428)  -7.32

Properties
SG: R-3m (166)
M_tot: 0.6422 μB per atom
calculated volume: 230 Å³ per cell
calculated formation energy: -505.3 meV per atom
DOS(E_F): 0.35 states/eV/atom
calculated total energy: -24.959 eV per atom
crystal system: trigonal

=====

This record from Alexandria via LeMat-Bulk describes a PBEsol-optimized structure of Al2SiAgGe. The functional is meta-GGA SCAN.

Cell lengths 4.681, 4.780, 4.780 Å; angles 90.00, 90.00, 90.00 degrees
Positions (direct):
Ag (0.500, 0.000, 0.000)
Ge (0.500, 0.500, 0.500)
Al (0.000, 0.500, 0.000)
Al (0.000, 0.000, 0.500)
Si (0.000, 0.000, 0.000)

Properties
SG: P4/mmm (123)
M_tot: 0.0000 μB per atom
calculated volume: 107 Å³ per cell
DOS(E_F): 0.74 states/eV/atom
calculated total energy: -14.472 eV per atom
crystal system: tetragonal